1.
Below is crystalline NiAsPt4 at its relaxed geometry, with properties calculated at the PBE level.

Calculated values
electronic total energy: -5.436 eV/atom
theoretical density: 14.8 Mg/m³
total moment: 0.001 μB/f.u.

a b c (Å): 7.422 7.422 7.422
angles (deg): 90.00 90.00 90.00
Space group F-43m (No. 216)
Inequivalent atoms, fractional coordinates:
Ni1 0.000 0.000 0.000
As1 0.250 0.250 0.250
Pt1 0.125 0.125 0.625

2.
Below is crystalline Ce5ThIn3 at its relaxed geometry, with properties calculated at the PBE level.

Calculated values
electronic total energy: -5.239 eV/atom
theoretical density: 8.1 Mg/m³
total moment: 6.812 μB/f.u.

a b c (Å): 9.5000 9.5000 6.7065
angles (deg): 90.00 90.00 120.00
Space group P6_3/mcm (No. 193)
Inequivalent atoms, fractional coordinates:
Ce1 0.0000 0.3355 0.2500
Ce2 0.3333 0.6667 0.0000
Th1 0.0000 0.0000 0.0000
In1 0.0000 0.3320 0.7500

3.
Below is crystalline K2PaInS5 at its relaxed geometry, with properties calculated at the PBE level.

Calculated values
electronic total energy: -5.135 eV/atom
theoretical density: 3.6 Mg/m³
total moment: 0.000 μB/f.u.

a b c (Å): 4.121 18.416 14.175
angles (deg): 90.00 90.00 90.00
Space group Cmc2_1 (No. 36)
Inequivalent atoms, fractional coordinates:
K1 0.000 0.095 0.000
K2 0.000 0.125 0.657
Pa1 0.000 0.218 0.364
In1 0.000 0.438 0.763
S1 0.000 0.066 0.372
S2 0.000 0.284 0.983
S3 0.000 0.297 0.738
S4 0.000 0.351 0.339
S5 0.000 0.499 0.618

Copy entry 1 word for word.
Below is crystalline NiAsPt4 at its relaxed geometry, with properties calculated at the PBE level.

Calculated values
electronic total energy: -5.436 eV/atom
theoretical density: 14.8 Mg/m³
total moment: 0.001 μB/f.u.

a b c (Å): 7.422 7.422 7.422
angles (deg): 90.00 90.00 90.00
Space group F-43m (No. 216)
Inequivalent atoms, fractional coordinates:
Ni1 0.000 0.000 0.000
As1 0.250 0.250 0.250
Pt1 0.125 0.125 0.625

- What is the theoretical density in the third record?
  3.6 Mg/m³

- The lowest electronic total energy belongs to which entry?
  NiAsPt4